# 1
Material: LuBiN2O
Method: DFT, PBE
State: relaxed

Computed properties:
- Energy: -6.631 eV/atom
- Crystal system: orthorhombic
- Symmetry: Ima2 (46)

Cell lengths 5.9736, 5.9736, 5.9736 Å; angles 84.15, 124.54, 122.33 degrees
Positions (direct):
Lu1 0.0377 0.2500 0.2877
Lu2 0.9623 0.7500 0.7123
Bi1 0.5293 0.0293 0.5000
Bi2 0.5293 0.5293 0.0000
N1 0.0311 0.1741 0.6697
N2 0.0311 0.8614 0.3570
N3 0.5045 0.3614 0.3303
N4 0.5045 0.6741 0.6430
O1 0.4472 0.8550 0.0923
O2 0.7627 0.3550 0.9077

***

# 2
Material: LuBiN2O
Method: DFT, PBE
State: relaxed

Computed properties:
- Energy: -6.740 eV/atom
- Crystal system: triclinic
- Symmetry: P1 (1)

Cell lengths 5.6709, 5.7378, 5.9861 Å; angles 61.46, 62.65, 60.44 degrees
Positions (direct):
Lu1 0.0000 0.0000 0.0000
Lu2 0.2834 0.2809 0.1579
Bi1 0.5109 0.4722 0.5105
Bi2 0.7846 0.7859 0.6476
N1 0.1819 0.6037 0.3421
N2 0.4011 0.0912 0.8282
N3 0.6732 0.4102 0.8208
N4 0.8876 0.1786 0.3294
O1 0.0803 0.6782 0.8547
O2 0.5966 0.8871 0.3207

***

# 3
Material: LuBiN2O
Method: DFT, PBE
State: relaxed

Computed properties:
- Energy: -6.148 eV/atom
- Crystal system: orthorhombic
- Symmetry: Pmma (51)

Cell lengths 5.8444, 3.9991, 6.2604 Å; angles 90.00, 90.00, 90.00 degrees
Positions (direct):
Lu1 0.2500 0.0000 0.1774
Lu2 0.7500 0.0000 0.8226
Bi1 0.2500 0.5000 0.7282
Bi2 0.7500 0.5000 0.2718
N1 0.0000 0.5000 0.5000
N2 0.2500 0.0000 0.8358
N3 0.5000 0.5000 0.5000
N4 0.7500 0.0000 0.1642
O1 0.0000 0.5000 0.0000
O2 0.5000 0.5000 0.0000

***

# 4
Material: LuBiN2O
Method: DFT, PBE
State: relaxed

Computed properties:
- Energy: -6.612 eV/atom
- Crystal system: hexagonal
- Symmetry: P6_3cm (185)

Cell lengths 6.5618, 6.5618, 12.0379 Å; angles 90.00, 90.00, 120.00 degrees
Positions (direct):
Lu1 0.0000 0.0000 0.0000
Lu2 0.0000 0.0000 0.5000
Lu3 0.3333 0.6667 0.4717
Lu4 0.3333 0.6667 0.9717
Lu5 0.6667 0.3333 0.4717
Lu6 0.6667 0.3333 0.9717
Bi1 0.0000 0.3333 0.2358
Bi2 0.0000 0.6667 0.7358
Bi3 0.3333 0.0000 0.2358
Bi4 0.3333 0.3333 0.7358
Bi5 0.6667 0.0000 0.7358
Bi6 0.6667 0.6667 0.2358
N1 0.0000 0.3072 0.4065
N2 0.0000 0.3654 0.0669
N3 0.0000 0.6346 0.5669
N4 0.0000 0.6928 0.9065
N5 0.3072 0.0000 0.4065
N6 0.3072 0.3072 0.9065
N7 0.3654 0.0000 0.0669
N8 0.3654 0.3654 0.5669
N9 0.6346 0.0000 0.5669
N10 0.6346 0.6346 0.0669
N11 0.6928 0.0000 0.9065
N12 0.6928 0.6928 0.4065
O1 0.0000 0.0000 0.1963
O2 0.0000 0.0000 0.6963
O3 0.3333 0.6667 0.2701
O4 0.3333 0.6667 0.7701
O5 0.6667 0.3333 0.2701
O6 0.6667 0.3333 0.7701

***

# 5
Material: LuBiN2O
Method: DFT, PBE
State: relaxed

Computed properties:
- Energy: -6.202 eV/atom
- Crystal system: hexagonal
- Symmetry: P6_3/mmc (194)

Cell lengths 6.0685, 6.0685, 14.4978 Å; angles 90.00, 90.00, 120.00 degrees
Positions (direct):
Lu1 0.0000 0.0000 0.2500
Lu2 0.0000 0.0000 0.7500
Lu3 0.3333 0.6667 0.1476
Lu4 0.3333 0.6667 0.3524
Lu5 0.6667 0.3333 0.6476
Lu6 0.6667 0.3333 0.8524
Bi1 0.0000 0.0000 0.0000
Bi2 0.0000 0.0000 0.5000
Bi3 0.3333 0.6667 0.6365
Bi4 0.3333 0.6667 0.8635
Bi5 0.6667 0.3333 0.1365
Bi6 0.6667 0.3333 0.3635
N1 0.1404 0.2809 0.6118
N2 0.1404 0.2809 0.8882
N3 0.1404 0.8596 0.6118
N4 0.1404 0.8596 0.8882
N5 0.2809 0.1404 0.1118
N6 0.2809 0.1404 0.3882
N7 0.7191 0.8596 0.6118
N8 0.7191 0.8596 0.8882
N9 0.8596 0.1404 0.1118
N10 0.8596 0.1404 0.3882
N11 0.8596 0.7191 0.1118
N12 0.8596 0.7191 0.3882
O1 0.0424 0.5212 0.2500
O2 0.4788 0.5212 0.2500
O3 0.4788 0.9576 0.2500
O4 0.5212 0.0424 0.7500
O5 0.5212 0.4788 0.7500
O6 0.9576 0.4788 0.7500

***

# 6
Material: LuBiNO
Method: DFT, PBE
State: relaxed

Computed properties:
- Crystal system: tetragonal
- ΔE to the lowest computed polymorph: 0.489 eV/atom
- Symmetry: P4/nmm (129)

Cell lengths 4.4144, 4.4144, 7.8261 Å; angles 90.00, 90.00, 90.00 degrees
Positions (direct):
Lu1 0.2500 0.7500 0.0000
Lu2 0.7500 0.2500 0.0000
Bi1 0.2500 0.2500 0.3852
Bi2 0.7500 0.7500 0.6148
N1 0.2500 0.2500 0.9375
N2 0.7500 0.7500 0.0625
O1 0.2500 0.7500 0.5000
O2 0.7500 0.2500 0.5000

***

# 7
Material: LuBiNO
Method: DFT, PBE
State: relaxed

Computed properties:
- Crystal system: orthorhombic
- ΔE to the lowest computed polymorph: 0.000 eV/atom
- Symmetry: Pmc2_1 (26)

Cell lengths 3.7097, 6.5999, 6.3177 Å; angles 90.00, 90.00, 90.00 degrees
Positions (direct):
Lu1 0.0000 0.1803 0.0000
Lu2 0.0000 0.8197 0.5000
Bi1 0.5000 0.3324 0.5678
Bi2 0.5000 0.6676 0.0678
N1 0.5000 0.3556 0.9361
N2 0.5000 0.6444 0.4361
O1 0.0000 0.0621 0.2988
O2 0.0000 0.9379 0.7988

***

# 8
Material: LuBiN2O
Method: DFT, PBE
State: relaxed

Computed properties:
- Energy: -6.789 eV/atom
- Crystal system: monoclinic
- Symmetry: C2/m (12)

Cell lengths 6.1179, 6.1179, 5.9876 Å; angles 118.34, 118.34, 92.38 degrees
Positions (direct):
Lu1 0.1496 0.1496 0.4087
Lu2 0.8504 0.8504 0.5913
Bi1 0.0000 0.5000 0.0000
Bi2 0.5000 0.0000 0.0000
N1 0.1618 0.8382 0.5000
N2 0.4967 0.4967 0.1020
N3 0.5033 0.5033 0.8980
N4 0.8382 0.1618 0.5000
O1 0.1443 0.8557 0.0000
O2 0.8557 0.1443 0.0000

***

# 9
Material: LuBiN2O
Method: DFT, PBE
State: relaxed

Computed properties:
- Energy: -6.609 eV/atom
- Crystal system: triclinic
- Symmetry: P1 (1)

Cell lengths 5.6353, 5.9544, 10.0389 Å; angles 76.86, 74.76, 62.17 degrees
Positions (direct):
Lu1 0.0000 0.0000 0.0000
Lu2 0.1242 0.2526 0.2660
Lu3 0.4344 0.5061 0.4636
Lu4 0.5978 0.7704 0.7134
Bi1 0.0040 0.1466 0.6239
Bi2 0.3350 0.3420 0.8747
Bi3 0.5959 0.6525 0.0849
Bi4 0.7634 0.8823 0.3629
N1 0.0053 0.3574 0.0450
N2 0.0314 0.5066 0.4693
N3 0.2041 0.1176 0.7870
N4 0.3930 0.6506 0.9342
N5 0.3949 0.8956 0.5111
N6 0.5808 0.4143 0.6775
N7 0.6003 0.0224 0.0038
N8 0.7145 0.6136 0.2755
O1 0.1244 0.8945 0.2102
O2 0.5062 0.2678 0.2616
O3 0.8307 0.1481 0.4457
O4 0.9555 0.7986 0.7206

***

# 10
Material: Lu4BiPN2
Method: DFT, PBE
State: relaxed

Computed properties:
- Energy: -6.834 eV/atom
- Crystal system: hexagonal
- Symmetry: P-6m2 (187)

Cell lengths 3.5718, 3.5718, 13.4357 Å; angles 90.00, 90.00, 120.00 degrees
Positions (direct):
Lu1 0.0000 0.0000 0.1286
Lu2 0.0000 0.0000 0.8714
Lu3 0.3333 0.6667 0.3182
Lu4 0.3333 0.6667 0.6818
Bi1 0.0000 0.0000 0.5000
P1 0.3333 0.6667 0.0000
N1 0.6667 0.3333 0.2343
N2 0.6667 0.3333 0.7657

***

# 11
Material: Lu4BiPbN2
Method: DFT, PBE
State: relaxed

Computed properties:
- Energy: -6.418 eV/atom
- Crystal system: hexagonal
- Symmetry: P-6m2 (187)

Cell lengths 3.4866, 3.4866, 15.0404 Å; angles 90.00, 90.00, 120.00 degrees
Positions (direct):
Lu1 0.0000 0.0000 0.1663
Lu2 0.0000 0.0000 0.8337
Lu3 0.3333 0.6667 0.3322
Lu4 0.3333 0.6667 0.6678
Bi1 0.3333 0.6667 0.0000
Pb1 0.0000 0.0000 0.5000
N1 0.6667 0.3333 0.2488
N2 0.6667 0.3333 0.7512

***

# 12
Material: Lu4BiSN2
Method: DFT, PBE
State: relaxed

Computed properties:
- Energy: -6.847 eV/atom
- Crystal system: hexagonal
- Symmetry: P-6m2 (187)

Cell lengths 3.4977, 3.4977, 13.5728 Å; angles 90.00, 90.00, 120.00 degrees
Positions (direct):
Lu1 0.0000 0.0000 0.1339
Lu2 0.0000 0.0000 0.8661
Lu3 0.3333 0.6667 0.3178
Lu4 0.3333 0.6667 0.6822
Bi1 0.0000 0.0000 0.5000
S1 0.3333 0.6667 0.0000
N1 0.6667 0.3333 0.2277
N2 0.6667 0.3333 0.7723